(1)
This record from the Alexandria database describes NaZn2Co2 after structural relaxation. The functional is PBE.

Crystal system   tetragonal
DFT formation energy   0.13 eV per atom
Space group   P4/mbm (127)
Relative energy among the computed polymorphs   0.0 meV per atom

Cell lengths 7.5164, 7.5164, 2.5658 Å; angles 90.00, 90.00, 90.00 degrees
Last column: nearest neighbours and their distance in Å.
Positions (direct):
1 Na 0.0000 0.0000 0.0000  2 Na 2.57
2 Na 0.5000 0.5000 0.0000  2 Na 2.57
3 Zn 0.1818 0.3182 0.5000  6 Co 2.56-2.59, 2 Zn 2.57
4 Zn 0.3182 0.8182 0.5000  6 Co 2.56-2.59, 2 Zn 2.57
5 Zn 0.6818 0.1818 0.5000  6 Co 2.56-2.59, 2 Zn 2.57
6 Zn 0.8182 0.6818 0.5000  6 Co 2.56-2.59, 2 Zn 2.57
7 Co 0.1094 0.6094 0.0000  3 Co 2.33-2.57, 6 Zn 2.56-2.59
8 Co 0.3906 0.1094 0.0000  3 Co 2.33-2.57, 6 Zn 2.56-2.59
9 Co 0.6094 0.8906 0.0000  3 Co 2.33-2.57, 6 Zn 2.56-2.59
10 Co 0.8906 0.3906 0.0000  3 Co 2.33-2.57, 6 Zn 2.56-2.59

(2)
This record from the Alexandria database describes Ce12GaOs6 after structural relaxation. The functional is PBE.

Crystal system   trigonal
DFT formation energy   -0.08 eV per atom
Space group   R-3 (148)

Cell lengths 8.4898, 8.4898, 8.4898 Å; angles 108.34, 108.34, 108.34 degrees
Last column: nearest neighbours and their distance in Å.
Positions (direct):
1 Ce 0.0295 0.3596 0.1193  3 Os 2.79-2.82
2 Ce 0.1193 0.0295 0.3596  3 Os 2.79-2.82
3 Ce 0.1852 0.4759 0.6398  3 Os 2.70-2.92
4 Ce 0.3596 0.1193 0.0295  3 Os 2.79-2.82
5 Ce 0.3602 0.8148 0.5241  3 Os 2.70-2.92
6 Ce 0.4759 0.6398 0.1852  3 Os 2.70-2.92
7 Ce 0.5241 0.3602 0.8148  3 Os 2.70-2.92
8 Ce 0.6398 0.1852 0.4759  3 Os 2.70-2.92
9 Ce 0.6404 0.8807 0.9705  3 Os 2.79-2.82
10 Ce 0.8148 0.5241 0.3602  3 Os 2.70-2.92
11 Ce 0.8807 0.9705 0.6404  3 Os 2.79-2.82
12 Ce 0.9705 0.6404 0.8807  3 Os 2.79-2.82
13 Ga 0.5000 0.5000 0.5000  6 Ce 3.22
14 Os 0.1144 0.7989 0.6832  6 Ce 2.70-2.92
15 Os 0.2011 0.3168 0.8856  6 Ce 2.70-2.92
16 Os 0.3168 0.8856 0.2011  6 Ce 2.70-2.92
17 Os 0.6832 0.1144 0.7989  6 Ce 2.70-2.92
18 Os 0.7989 0.6832 0.1144  6 Ce 2.70-2.92
19 Os 0.8856 0.2011 0.3168  6 Ce 2.70-2.92

(3)
This record from the Alexandria database describes Ho6HgRh after structural relaxation. The functional is PBE.

Crystal system   monoclinic
DFT formation energy   -0.16 eV per atom
Space group   C2/m (12)

Cell lengths 6.6349, 6.6349, 6.6549 Å; angles 101.67, 101.67, 116.59 degrees
Last column: nearest neighbours and their distance in Å.
Positions (direct):
1 Ho 0.0280 0.4097 0.2414  1 Rh 2.77, 1 Hg 2.97
2 Ho 0.2341 0.2341 0.7686  1 Rh 2.64
3 Ho 0.4097 0.0280 0.2414  1 Rh 2.77, 1 Hg 2.97
4 Ho 0.5903 0.9720 0.7586  1 Rh 2.77, 1 Hg 2.97
5 Ho 0.7659 0.7659 0.2314  1 Rh 2.64
6 Ho 0.9720 0.5903 0.7586  1 Rh 2.77, 1 Hg 2.97
7 Hg 0.5000 0.5000 0.5000  6 Ho 2.97-3.03
8 Rh 0.0000 0.0000 0.0000  6 Ho 2.64-2.77

(4)
This record from the Alexandria database describes BeAlTe2 after structural relaxation. The functional is PBE.

Crystal system   monoclinic
Space group   P2/m (10)
Raw formation energy   0.179 eV/atom
Relative energy among the computed polymorphs   269.3 meV per atom

Cell lengths 4.3849, 3.7152, 6.7503 Å; angles 90.00, 92.77, 90.00 degrees
Last column: nearest neighbours and their distance in Å.
Positions (direct):
1 Be 0.0000 0.0000 0.0000  4 Te 2.58
2 Al 0.0000 0.0000 0.5000  4 Te 2.78
3 Te 0.2115 0.5000 0.2338  2 Be 2.58, 2 Al 2.78
4 Te 0.7885 0.5000 0.7662  2 Be 2.58, 2 Al 2.78

Question: Which formula does entry 1 have?
Answer: NaZn2Co2